Entry 1:
# SrAc6Cd5

A relaxed structure of SrAc6Cd5 (PBE, the Alexandria database).

a = 5.8295 Å, b = 8.2959 Å, c = 10.1477 Å
α = 114.13°, β = 106.69°, γ = 90.00°
Closest atoms and distances in Å follow each position.
Fractional positions:
Ac 0.8254 0.5642 0.6508  7 Cd 3.52-3.65, 1 Sr 3.76
Ac 0.5000 0.7252 0.0000  6 Cd 3.46-3.52, 2 Sr 3.70, 1 Ac 3.74
Ac 0.8254 0.0866 0.6508  7 Cd 3.52-3.65, 1 Sr 3.76
Ac 0.1746 0.9134 0.3492  7 Cd 3.52-3.65, 1 Sr 3.76
Ac 0.1746 0.4358 0.3492  7 Cd 3.52-3.65, 1 Sr 3.76
Ac 0.5000 0.2748 0.0000  6 Cd 3.46-3.52, 2 Sr 3.70, 1 Ac 3.74
Cd 0.6679 0.6679 0.3358  8 Ac 3.49-3.53
Cd 0.3475 0.8475 0.6951  8 Ac 3.52-3.65
Cd 0.6525 0.1525 0.3049  8 Ac 3.52-3.65
Cd 0.0000 0.5000 0.0000  8 Ac 3.46-3.65
Cd 0.3321 0.3321 0.6642  8 Ac 3.49-3.53
Sr 0.0000 0.0000 0.0000  8 Ac 3.70-3.76, 4 Cd 3.96

Computed properties:
Calculated volume (Å³/atom): 35.4
DFT formation energy (eV/atom): -0.20
SG: No. 71
E (eV/atom): -2.779
Density (g/cm3): 7.86



Entry 2:
# SrAc5Cd4

A relaxed structure of SrAc5Cd4 (PBE, the Alexandria database).

a = 4.0916 Å, b = 4.0916 Å, c = 22.1754 Å
α = 90.00°, β = 90.00°, γ = 90.00°
Closest atoms and distances in Å follow each position.
Fractional positions:
Ac 0.5000 0.5000 0.3166  8 Cd 3.53
Ac 0.5000 0.5000 0.6834  8 Cd 3.53
Ac 0.5000 0.5000 0.1364  4 Cd 3.50
Ac 0.5000 0.5000 0.8636  4 Cd 3.50
Ac 0.5000 0.5000 0.5000  8 Cd 3.55
Sr 0.0000 0.0000 0.0000  4 Sr 4.09, 8 Ac 4.19
Cd 0.0000 0.0000 0.5924  8 Ac 3.53-3.55
Cd 0.0000 0.0000 0.2250  8 Ac 3.50-3.53
Cd 0.0000 0.0000 0.4076  8 Ac 3.53-3.55
Cd 0.0000 0.0000 0.7750  8 Ac 3.50-3.53

Computed properties:
Calculated volume (Å³/atom): 37.1
DFT formation energy (eV/atom): -0.21
SG: No. 123
E (eV/atom): -2.800
Density (g/cm3): 7.48



Entry 3:
# SrAcCd

A relaxed structure of SrAcCd (PBE, the Alexandria database).

a = 5.6613 Å, b = 5.6613 Å, c = 5.6613 Å
α = 60.00°, β = 60.00°, γ = 60.00°
Closest atoms and distances in Å follow each position.
Fractional positions:
Ac 0.0000 0.0000 0.0000  4 Cd 3.47
Cd 0.2500 0.2500 0.2500  4 Ac 3.47, 4 Sr 3.47
Sr 0.5000 0.5000 0.5000  4 Cd 3.47

Computed properties:
Calculated volume (Å³/atom): 42.8
DFT formation energy (eV/atom): -0.02
SG: No. 216
E (eV/atom): -2.251
ΔE to the lowest computed polymorph (meV/atom): 170.8
Density (g/cm3): 5.53



Entry 4:
# SrAcCd17

A relaxed structure of SrAcCd17 (PBE, the Alexandria database).

a = 7.7850 Å, b = 7.7850 Å, c = 7.7850 Å
α = 82.50°, β = 82.50°, γ = 82.50°
Closest atoms and distances in Å follow each position.
Fractional positions:
Cd 0.6423 0.6423 0.1619  8 Cd 2.90-3.22
Cd 0.7022 0.0010 0.2967  8 Cd 2.97-3.22
Cd 0.0010 0.7022 0.2967  8 Cd 2.97-3.22
Cd 0.9988 0.9988 0.5010  10 Cd 2.97-3.14
Cd 0.3566 0.8396 0.3566  8 Cd 2.90-3.20
Cd 0.2967 0.7022 0.0010  8 Cd 2.97-3.22
Cd 0.7022 0.2967 0.0010  8 Cd 2.97-3.22
Cd 0.5010 0.9988 0.9988  10 Cd 2.97-3.14
Cd 0.9988 0.5010 0.9988  10 Cd 2.97-3.14
Cd 0.0010 0.2967 0.7022  8 Cd 2.97-3.22
Cd 0.1619 0.6423 0.6423  8 Cd 2.90-3.22
Cd 0.9009 0.9009 0.9009  7 Cd 3.03-3.34
Cd 0.8396 0.3566 0.3566  8 Cd 2.90-3.20
Cd 0.6423 0.1619 0.6423  8 Cd 2.90-3.22
Cd 0.1008 0.1008 0.1008  7 Cd 3.03-3.32
Cd 0.3566 0.3566 0.8396  8 Cd 2.90-3.20
Cd 0.2967 0.0010 0.7022  8 Cd 2.97-3.22
Ac 0.6657 0.6657 0.6657  19 Cd 3.56-3.98
Sr 0.3349 0.3349 0.3349  16 Cd 3.55-3.92

Computed properties:
Calculated volume (Å³/atom): 24.2
DFT formation energy (eV/atom): -0.18
SG: No. 160
E (eV/atom): -1.301
Density (g/cm3): 8.02



E of number 1 (SrAc6Cd5)?
-2.779 eV/atom



E of number 4 (SrAcCd17)?
-1.301 eV/atom



E of number 1 (SrAc6Cd5)?
-2.779 eV/atom